i.
# CsPaF6 (PBE, relaxed)
# total magnetic moment: 0.00 μB/atom
data_CsPaF6
_chemical_formula_sum 'Cs4 Pa4 F24'
_cell_length_a 10.222
_cell_length_b 10.222
_cell_length_c 10.222
_cell_angle_alpha 90.00
_cell_angle_beta 90.00
_cell_angle_gamma 90.00
_symmetry_space_group_name_H-M 'F m -3 m'
_symmetry_Int_Tables_number 225
_symmetry_space_group_name_Hall '-F 4 2 3'
loop_
_atom_site_label
_atom_site_type_symbol
_atom_site_fract_x
_atom_site_fract_y
_atom_site_fract_z
_atom_site_occupancy
Cs1 Cs 0.000 0.000 0.000 1
Pa1 Pa 0.000 0.000 0.500 1
F1 F 0.000 0.000 0.293 1

ii.
# CsPaF6 (PBE, relaxed)
# total magnetic moment: 0.00 μB/atom
data_CsPaF6
_chemical_formula_sum 'Cs3 Pa3 F18'
_cell_length_a 6.0430
_cell_length_b 6.0430
_cell_length_c 17.4771
_cell_angle_alpha 90.00
_cell_angle_beta 90.00
_cell_angle_gamma 120.00
_symmetry_space_group_name_H-M 'R -3 m'
_symmetry_Int_Tables_number 166
_symmetry_space_group_name_Hall '-R 3 2"'
loop_
_atom_site_label
_atom_site_type_symbol
_atom_site_fract_x
_atom_site_fract_y
_atom_site_fract_z
_atom_site_occupancy
Cs1 Cs 0.0000 0.0000 0.0000 1
Pa1 Pa 0.0000 0.0000 0.5000 1
F1 F 0.0096 0.5048 0.0946 1

It is i that is most stable; the runner-up trails by 0.051 eV/atom.